Material: NbMo2F
Method: DFT, PBE with a Hubbard U
State: optimized geometry

Unit cell a=6.9003 b=6.9003 c=6.0909 alpha=90.00 beta=90.00 gamma=90.00
Element x y z (fractional)
Nb 0.0000 0.0000 0.0000
Nb 0.0000 0.5000 0.2500
Nb 0.5000 0.0000 0.7500
Nb 0.5000 0.5000 0.5000
Mo 0.1948 0.2500 0.6250
Mo 0.2500 0.6948 0.8750
Mo 0.2500 0.8052 0.3750
Mo 0.3052 0.2500 0.1250
Mo 0.6948 0.7500 0.1250
Mo 0.7500 0.1948 0.3750
Mo 0.7500 0.3052 0.8750
Mo 0.8052 0.7500 0.6250
F 0.0000 0.0000 0.5000
F 0.0000 0.5000 0.7500
F 0.5000 0.0000 0.2500
F 0.5000 0.5000 0.0000

Output
- Relative energy among the computed polymorphs: 0.0 kJ per mole of atoms
- Total magnetic moment: 1.2813 μB/atom